Run P
{
  "formula": "YTlSeBr2",
  "functional": "PBE-GGA",
  "state": "optimized geometry",
  "lattice_angstrom": [[-1.6538, -2.7683, -4.6230], [4.8096, 1.4220, -2.5721], [2.3407, -4.5276, 1.8738]],
  "species": ["Y", "Tl", "Se", "Br", "Br"],
  "frac_coords": [[0.5000, 0.5000, 0.5000], [0.0000, 0.0000, 0.0000], [0.0000, 0.0000, 0.5000], [0.0000, 0.5000, 0.0000], [0.5000, 0.0000, 0.0000]],
  "mass_density_g_cm3": 5.12,
  "crystal_system": "tetragonal",
  "n_ef_per_ev_cell": 4.30,
  "space_group": "P4/mmm, No. 123"
}

---

Run Q
{
  "formula": "YTlSeBr2",
  "functional": "PBE-GGA",
  "state": "optimized geometry",
  "lattice_angstrom": [[5.6403, 0.0000, 0.0000], [0.0000, 5.6403, 0.0000], [0.0000, 0.0000, 5.5021]],
  "species": ["Y", "Tl", "Se", "Br", "Br"],
  "frac_coords": [[0.0000, 0.0000, 0.0000], [0.5000, 0.5000, 0.5000], [0.0000, 0.0000, 0.5000], [0.0000, 0.5000, 0.0000], [0.5000, 0.0000, 0.0000]],
  "mass_density_g_cm3": 5.05,
  "crystal_system": "tetragonal",
  "n_ef_per_ev_cell": 0.00,
  "space_group": "P4/mmm, No. 123"
}

---

Each structure's energy above the most stable one, in meV/atom: run P 1128; run Q 0.

---

Run P
{
  "formula": "TlZnSe2Br",
  "functional": "PBE-GGA",
  "state": "optimized geometry",
  "lattice_angstrom": [[-3.5940, 2.5523, 3.1926], [-4.0872, -2.2054, -2.8380], [-0.0383, -4.3957, 3.4710]],
  "species": ["Zn", "Tl", "Se", "Se", "Br"],
  "frac_coords": [[0.5000, 0.5000, 0.5000], [0.0000, 0.0000, 0.0000], [0.0000, 0.5000, 0.0000], [0.5000, 0.0000, 0.0000], [0.0000, 0.0000, 0.5000]],
  "mass_density_g_cm3": 5.08,
  "crystal_system": "tetragonal",
  "n_ef_per_ev_cell": 7.69,
  "space_group": "P4/mmm, No. 123"
}

---

Run Q
{
  "formula": "TlZnSe2Br",
  "functional": "PBE-GGA",
  "state": "optimized geometry",
  "lattice_angstrom": [[-2.9392, 0.7241, -3.8892], [-2.9266, -3.6580, 1.5307], [-3.0952, 3.7470, 3.0367]],
  "species": ["Zn", "Tl", "Se", "Se", "Br"],
  "frac_coords": [[0.0000, 0.0000, 0.0000], [0.5000, 0.5000, 0.5000], [0.0000, 0.5000, 0.0000], [0.5000, 0.0000, 0.0000], [0.0000, 0.0000, 0.5000]],
  "mass_density_g_cm3": 6.06,
  "crystal_system": "tetragonal",
  "n_ef_per_ev_cell": 5.90,
  "space_group": "P4/mmm, No. 123"
}

---

Each structure's energy above the most stable one, in meV/atom: run P 600; run Q 0.